No. 1
First-principles (GGA-PBE) data for a relaxed Hf4NiP2 crystal, as listed in Alexandria via LeMat-Bulk.

Formation enthalpy at 0 K   -0.11 eV/atom
Crystal system   tetragonal
V   289.8 Å³/cell

Lattice parameters (Å, degrees): 4.649 4.649 13.409 90.00 90.00 90.00
Space group I4/mmm (No. 139)
Symmetry-distinct sites (fractional):
Hf 0.000 0.000 0.184 [4 per cell]
Hf 0.000 0.500 0.000 [4 per cell]
Ni 0.000 0.000 0.000 [2 per cell]
P 0.000 0.000 0.371 [4 per cell]

---

No. 2
First-principles (GGA-PBE) data for a relaxed Hf2NiP2 crystal, as listed in Alexandria via LeMat-Bulk.

Formation enthalpy at 0 K   -0.51 eV/atom
Crystal system   tetragonal
V   163.8 Å³/cell

Lattice parameters (Å, degrees): 3.345 3.345 14.641 90.00 90.00 90.00
Space group I4/mmm (No. 139)
Symmetry-distinct sites (fractional):
Hf 0.000 0.000 0.107 [4 per cell]
Ni 0.000 0.000 0.500 [2 per cell]
P 0.000 0.500 0.250 [4 per cell]